Entry 1:
First-principles (GGA-PBE) data for a relaxed structure of Zr2SnS2, as listed in Alexandria.

The calculated volume is 97.8 Å³/f.u. For the uncorrected energy, the calculation gives -6.85 eV/atom. Its total magnetization is 0.000 μB/f.u.

The space group is P4/mbm (No. 127) and the conventional cell measures 7.6928, 7.6928 and 3.3055 Å, with angles of 90.00, 90.00 and 90.00 degrees. The asymmetric unit holds Zr at (0.1478, 0.3522, 0.0000), Sn at (0.0000, 0.0000, 0.0000) and S at (0.1325, 0.6325, 0.5000).

Entry 2:
First-principles (GGA-PBE) data for a relaxed structure of Zr4SnS8, as listed in Alexandria.

The calculated volume is 318.3 Å³/f.u. For the uncorrected energy, the calculation gives -6.86 eV/atom. Its total magnetization is 0.000 μB/f.u.

The space group is R-3m (No. 166, hexagonal axes) and the conventional cell measures 7.2775, 7.2775 and 20.8165 Å, with angles of 90.00, 90.00 and 120.00 degrees. The asymmetric unit holds Zr at (0.0000, 0.0000, 0.0000), Zr at (0.0000, 0.5000, 0.0000), Sn at (0.0000, 0.0000, 0.5000), S at (0.0000, 0.0000, 0.2621) and S at (0.9995, 0.4998, 0.2589).

Entry 3:
First-principles (GGA-PBE) data for a relaxed structure of ZrSnS4, as listed in Alexandria.

The calculated volume is 158.3 Å³/f.u. For the uncorrected energy, the calculation gives -5.73 eV/atom. Its total magnetization is 0.000 μB/f.u.

The space group is C2/m (No. 12) and the conventional cell measures 14.6393, 3.6781 and 6.4893 Å, with angles of 90.00, 115.01 and 90.00 degrees. The asymmetric unit holds Zr at (0.0000, 0.0000, 0.0000), Sn at (0.0000, 0.5000, 0.5000), S at (0.1106, 0.0000, 0.4441) and S at (0.1108, 0.5000, 0.9448).

- uncorrected energy of number 3 (ZrSnS4)?
  -5.73 eV/atom

- What is the formula in the second record?
  Zr4SnS8

Please write out number 3 again, unchanged.
First-principles (GGA-PBE) data for a relaxed structure of ZrSnS4, as listed in Alexandria.

The calculated volume is 158.3 Å³/f.u. For the uncorrected energy, the calculation gives -5.73 eV/atom. Its total magnetization is 0.000 μB/f.u.

The space group is C2/m (No. 12) and the conventional cell measures 14.6393, 3.6781 and 6.4893 Å, with angles of 90.00, 115.01 and 90.00 degrees. The asymmetric unit holds Zr at (0.0000, 0.0000, 0.0000), Sn at (0.0000, 0.5000, 0.5000), S at (0.1106, 0.0000, 0.4441) and S at (0.1108, 0.5000, 0.9448).